Computed, not measured: an optimized crystal structure of HgGeF4 at the PBE-GGA level of DFT.

Results
Excess energy over the best structure of this formula in the dataset: 183.8 meV/atom

a = 6.1807 Å, b = 5.9931 Å, c = 5.8656 Å
α = 90.00°, β = 90.00°, γ = 90.00°
With the nearest neighbours (Å) after each atom.
Space group Pmn2_1 (No. 31)
Unique sites:
Hg 0.0000 0.0376 0.0000 (multiplicity 2)  2 F 2.08
Ge 0.0000 0.5696 0.4716 (multiplicity 2)  2 F 1.91
F 0.0000 0.2574 0.2743 (multiplicity 2)  1 Hg 2.08, 1 Ge 2.20
F 0.0000 0.8544 0.6981 (multiplicity 2)  1 Hg 2.08, 1 Ge 2.16
F 0.2112 0.7180 0.2894 (multiplicity 4)  1 Ge 1.91

Computed, not measured: an optimized crystal structure of HgGe2F at the PBE-GGA level of DFT.

Results
DOS at the Fermi energy: 2.8 states/eV/f.u.
Excess energy over the best structure of this formula in the dataset: 99.3 meV/atom

a = 6.5797 Å, b = 6.5797 Å, c = 6.5797 Å
α = 90.00°, β = 90.00°, γ = 90.00°
With the nearest neighbours (Å) after each atom.
Space group Fm-3m (No. 225)
Unique sites:
Hg 0.0000 0.0000 0.0000 (multiplicity 4)  8 Ge 2.85
Ge 0.2500 0.2500 0.2500 (multiplicity 8)  4 Hg 2.85, 4 F 2.85
F 0.0000 0.0000 0.5000 (multiplicity 4)  8 Ge 2.85

Computed, not measured: an optimized crystal structure of Hg2GeF6 at the PBE-GGA level of DFT.

Results
DOS at the Fermi energy: 0.0 states/eV/f.u.
Excess energy over the best structure of this formula in the dataset: 0.0 meV/atom

a = 5.9996 Å, b = 5.9996 Å, c = 18.3923 Å
α = 90.00°, β = 90.00°, γ = 120.00°
With the nearest neighbours (Å) after each atom.
Space group R3m (No. 160, hexagonal axes)
Unique sites:
Hg 0.0000 0.0000 0.0000 (multiplicity 3)  3 F 2.55, 1 Hg 2.59
Hg 0.0000 0.0000 0.1407 (multiplicity 3)  3 F 2.47, 1 Hg 2.59
Ge 0.0000 0.0000 0.8209 (multiplicity 3)  6 F 1.78-1.91
F 0.0497 0.5249 0.5538 (multiplicity 9)  1 Ge 1.91
F 0.1866 0.3733 0.4371 (multiplicity 9)  1 Ge 1.78

Computed, not measured: an optimized crystal structure of Hg2GeF5 at the PBE-GGA level of DFT.

Results
DOS at the Fermi energy: 1.6 states/eV/f.u.
Energy: -3.651 eV/atom

a = 5.3106 Å, b = 10.6446 Å, c = 6.2443 Å
α = 90.00°, β = 110.40°, γ = 90.00°
With the nearest neighbours (Å) after each atom.
Space group Cm (No. 8)
Unique sites:
Hg 0.0000 0.2179 0.0000 (multiplicity 4)  2 Hg 2.74, 2 F 2.79-2.81
Ge 0.4565 0.0000 0.5337 (multiplicity 2)  5 F 1.75-1.83
F 0.0814 0.3535 0.4841 (multiplicity 4)  1 Ge 1.76
F 0.1917 0.0000 0.6405 (multiplicity 2)  1 Ge 1.75
F 0.2022 0.5000 0.8240 (multiplicity 2)  1 Ge 1.83
F 0.2208 0.0000 0.2396 (multiplicity 2)  1 Ge 1.83

Computed, not measured: an optimized crystal structure of HgGeIF6 at the PBE-GGA level of DFT.

Results
Energy: -3.739 eV/atom

a = 5.4147 Å, b = 5.7099 Å, c = 6.2834 Å
α = 95.25°, β = 102.93°, γ = 105.49°
With the nearest neighbours (Å) after each atom.
Space group P1 (No. 1)
Unique sites:
Hg 0.0000 0.0000 0.0000 (multiplicity 1)  1 F 2.22
Ge 0.3417 0.6179 0.2066 (multiplicity 1)  6 F 1.80-1.92
I 0.7983 0.1618 0.6424 (multiplicity 1)  1 Hg 2.63, 2 F 2.74-2.83
F 0.0755 0.3947 0.2750 (multiplicity 1)  1 Ge 1.81
F 0.1156 0.6044 0.9277 (multiplicity 1)  1 Ge 1.88
F 0.1999 0.8732 0.2959 (multiplicity 1)  1 Ge 1.92
F 0.4548 0.3729 0.1015 (multiplicity 1)  1 Ge 1.80
F 0.5515 0.6713 0.4876 (multiplicity 1)  1 Ge 1.82
F 0.5927 0.8573 0.1336 (multiplicity 1)  1 Ge 1.82

Computed, not measured: an optimized crystal structure of Hg2GeIF at the PBE-GGA level of DFT.

Results
DOS at the Fermi energy: 2.5 states/eV/f.u.
Energy: -2.307 eV/atom

a = 5.4955 Å, b = 5.4955 Å, c = 4.2461 Å
α = 90.00°, β = 90.00°, γ = 90.00°
With the nearest neighbours (Å) after each atom.
Space group P4/mmm (No. 123)
Unique sites:
Hg 0.0000 0.5000 0.0000 (multiplicity 2)  2 Ge 2.75
Ge 0.0000 0.0000 0.0000 (multiplicity 1)  2 F 2.12
I 0.5000 0.5000 0.5000 (multiplicity 1)  8 Hg 3.47, 4 F 3.89
F 0.0000 0.0000 0.5000 (multiplicity 1)  2 Ge 2.12

Computed, not measured: an optimized crystal structure of KHg2GeF8 at the PBE-GGA level of DFT.

Results
DOS at the Fermi energy: 2.5 states/eV/f.u.
Energy: -3.777 eV/atom

a = 5.4913 Å, b = 7.0248 Å, c = 5.5422 Å
α = 90.00°, β = 91.58°, γ = 90.00°
With the nearest neighbours (Å) after each atom.
Space group P2/m (No. 10)
Unique sites:
K 0.0000 0.0000 0.0000 (multiplicity 1)  6 F 2.58-2.61
Hg 0.5000 0.2718 0.5000 (multiplicity 2)  4 F 2.33-2.56
Ge 0.0000 0.5000 0.0000 (multiplicity 1)  6 F 1.84-1.85
F 0.1647 0.3163 0.1754 (multiplicity 4)  1 Ge 1.84
F 0.2429 0.5000 0.7754 (multiplicity 2)  1 Ge 1.85
F 0.3376 0.0000 0.6770 (multiplicity 2)  2 Hg 2.33, 1 K 2.61

Computed, not measured: an optimized crystal structure of LaHgGeF2 at the PBE-GGA level of DFT.

Results
DOS at the Fermi energy: 2.8 states/eV/f.u.
Energy: -4.581 eV/atom

a = 4.4712 Å, b = 4.4712 Å, c = 6.8850 Å
α = 90.00°, β = 90.00°, γ = 90.00°
With the nearest neighbours (Å) after each atom.
Space group P4/mmm (No. 123)
Unique sites:
La 0.0000 0.0000 0.0000 (multiplicity 1)  4 F 2.24
Hg 0.0000 0.0000 0.5000 (multiplicity 1)  4 Ge 3.16, 2 La 3.44
Ge 0.5000 0.5000 0.5000 (multiplicity 1)  4 Hg 3.16
F 0.0000 0.5000 0.0000 (multiplicity 2)  2 La 2.24